Record 1
A plane-wave DFT calculation with PBE was carried out for a relaxed AcZn3Ga3 crystal.

- Space group: P2_1/m, No. 11
- V: 178 Å³/f.u.
- Fermi-level density of states: 5.26 states/eV/cell
- Excess energy over the best structure of this formula in the dataset: 1.01 eV/f.u.
- Crystal system: monoclinic
- Electronic total energy: -2.55 eV per atom
- Total magnetic moment: 0.0 μB per formula unit
- Formation energy from the elements: -78.8 kJ/mol of formula units

a = 4.4939 Å, b = 9.5189 Å, c = 10.3185 Å
α = 126.03°, β = 90.00°, γ = 90.00°
With the nearest neighbours (Å) after each atom.
Positions (direct):
Ac (0.7500, 0.3593, 0.6911)  9 Ga 3.30-3.68, 7 Zn 3.33-3.40
Ac (0.2500, 0.6407, 0.3089)  9 Ga 3.30-3.68, 7 Zn 3.33-3.40
Zn (0.7500, 0.6794, 0.0920)  4 Ga 2.49-2.79
Zn (0.7500, 0.3668, 0.2818)  4 Ga 2.54-2.62
Zn (0.7500, 0.9036, 0.6027)  4 Ga 2.50-2.68
Zn (0.2500, 0.3206, 0.9080)  4 Ga 2.49-2.79
Zn (0.2500, 0.6332, 0.7182)  4 Ga 2.54-2.62
Zn (0.2500, 0.0964, 0.3973)  4 Ga 2.50-2.68
Ga (0.7500, 0.9509, 0.3707)  4 Zn 2.49-2.68
Ga (0.7500, 0.3502, 0.0265)  4 Zn 2.49-2.79
Ga (0.7500, 0.6303, 0.5853)  4 Zn 2.50-2.62
Ga (0.2500, 0.0491, 0.6293)  4 Zn 2.49-2.68
Ga (0.2500, 0.6498, 0.9735)  4 Zn 2.49-2.79
Ga (0.2500, 0.3697, 0.4147)  4 Zn 2.50-2.62


Record 2
A plane-wave DFT calculation with PBE was carried out for a relaxed Ac4Zn3Ga crystal.

- Space group: R-3m, No. 166
- V: 239 Å³/f.u.
- Fermi-level density of states: 7.92 states/eV/cell
- Excess energy over the best structure of this formula in the dataset: 0.00 eV/f.u.
- Crystal system: trigonal
- Electronic total energy: -3.21 eV per atom
- Total magnetic moment: 0.0 μB per formula unit
- Formation energy from the elements: -230.6 kJ/mol of formula units

a = 5.5201 Å, b = 5.5201 Å, c = 9.5938 Å
α = 73.28°, β = 73.28°, γ = 60.00°
With the nearest neighbours (Å) after each atom.
Positions (direct):
Ac (0.8748, 0.8748, 0.3755)  7 Zn 3.37-3.38, 1 Ga 3.40
Ac (0.3751, 0.3751, 0.8747)  3 Ga 3.38, 5 Zn 3.39-3.42
Ac (0.1252, 0.1252, 0.6245)  7 Zn 3.37-3.38, 1 Ga 3.40
Ac (0.6249, 0.6249, 0.1253)  3 Ga 3.38, 5 Zn 3.39-3.42
Zn (0.2493, 0.2493, 0.2521)  8 Ac 3.37-3.42
Zn (0.7507, 0.7507, 0.7479)  8 Ac 3.37-3.42
Zn (0.5000, 0.5000, 0.5000)  8 Ac 3.38-3.39
Ga (0.0000, 0.0000, 0.0000)  8 Ac 3.38-3.40


Record 3
A plane-wave DFT calculation with PBE was carried out for a relaxed AcZn6Ga12 crystal.

- Space group: R-3m, No. 166
- V: 368 Å³/f.u.
- Fermi-level density of states: 5.91 states/eV/cell
- Crystal system: trigonal
- Electronic total energy: -2.56 eV per atom
- Total magnetic moment: 0.0 μB per formula unit
- Formation energy from the elements: -58.0 kJ/mol of formula units

a = 7.4352 Å, b = 7.4352 Å, c = 7.4352 Å
α = 103.80°, β = 103.80°, γ = 103.80°
With the nearest neighbours (Å) after each atom.
Positions (direct):
Ac (0.0000, 0.0000, 0.0000)  6 Ga 3.33
Zn (0.7224, 0.2919, 0.2919)  8 Ga 2.59-2.90
Zn (0.2919, 0.2919, 0.7224)  8 Ga 2.59-2.90
Zn (0.2919, 0.7224, 0.2919)  8 Ga 2.59-2.90
Zn (0.7081, 0.7081, 0.2776)  8 Ga 2.59-2.90
Zn (0.2776, 0.7081, 0.7081)  8 Ga 2.59-2.90
Zn (0.7081, 0.2776, 0.7081)  8 Ga 2.59-2.90
Ga (0.8915, 0.1085, 0.5000)  1 Ga 2.54, 2 Zn 2.59
Ga (0.8568, 0.6079, 0.6079)  4 Zn 2.68-2.90, 4 Ga 2.87-2.91
Ga (0.6079, 0.6079, 0.8568)  4 Zn 2.68-2.90, 4 Ga 2.87-2.91
Ga (0.3921, 0.1432, 0.3921)  4 Zn 2.68-2.90, 4 Ga 2.87-2.91
Ga (0.3921, 0.3921, 0.1432)  4 Zn 2.68-2.90, 4 Ga 2.87-2.91
Ga (0.1432, 0.3921, 0.3921)  4 Zn 2.68-2.90, 4 Ga 2.87-2.91
Ga (0.1085, 0.5000, 0.8915)  1 Ga 2.54, 2 Zn 2.59
Ga (0.5000, 0.8915, 0.1085)  1 Ga 2.54, 2 Zn 2.59
Ga (0.1085, 0.8915, 0.5000)  1 Ga 2.54, 2 Zn 2.59
Ga (0.8915, 0.5000, 0.1085)  1 Ga 2.54, 2 Zn 2.59
Ga (0.5000, 0.1085, 0.8915)  1 Ga 2.54, 2 Zn 2.59
Ga (0.6079, 0.8568, 0.6079)  4 Zn 2.68-2.90, 4 Ga 2.87-2.91


Record 4
A plane-wave DFT calculation with PBE was carried out for a relaxed Ac3ZnGa2 crystal.

- Space group: P4/mmm, No. 123
- V: 180 Å³/f.u.
- Fermi-level density of states: 5.88 states/eV/cell
- Excess energy over the best structure of this formula in the dataset: 0.03 eV/f.u.
- Crystal system: tetragonal
- Electronic total energy: -3.65 eV per atom
- Total magnetic moment: 0.0 μB per formula unit
- Formation energy from the elements: -216.1 kJ/mol of formula units

a = 3.8936 Å, b = 3.8936 Å, c = 11.8980 Å
α = 90.00°, β = 90.00°, γ = 90.00°
With the nearest neighbours (Å) after each atom.
Positions (direct):
Ac (0.0000, 0.0000, 0.0000)  8 Ga 3.43
Ac (0.0000, 0.0000, 0.6671)  4 Ga 3.36, 4 Zn 3.40
Ac (0.0000, 0.0000, 0.3329)  4 Ga 3.36, 4 Zn 3.40
Zn (0.5000, 0.5000, 0.5000)  8 Ac 3.40
Ga (0.5000, 0.5000, 0.8287)  8 Ac 3.36-3.43
Ga (0.5000, 0.5000, 0.1713)  8 Ac 3.36-3.43